Entry 1:
CsTaGa2 | SCAN | single point on PBEsol structure

Values from the calculation:
- Total DFT energy (no corrections): -32.99 eV/atom
- Formation energy: 1286 meV per atom

Structure (POSCAR):
```
CsTaGa2
1.0
0.000 3.551 3.551
3.551 0.000 3.551
3.551 3.551 0.000
Cs Ta Ga
1 1 2
Direct
0.000 0.000 0.000
0.500 0.500 0.500
0.250 0.250 0.250
0.750 0.750 0.750
```

***

Entry 2:
CsTa3Ga | SCAN | single point on PBEsol structure

Values from the calculation:
- Total DFT energy (no corrections): -48.75 eV/atom
- Formation energy: 2032 meV per atom

Structure (POSCAR):
```
CsTa3Ga
1.0
4.906 0.000 0.000
0.000 4.906 0.000
0.000 0.000 4.906
Cs Ta Ga
1 3 1
Direct
0.000 0.000 0.000
0.000 0.500 0.500
0.500 0.000 0.500
0.500 0.500 0.000
0.500 0.500 0.500
```

***

Entry 3:
CsTaZn2Ga | SCAN | single point on PBEsol structure

Values from the calculation:
- Total DFT energy (no corrections): -27.13 eV/atom
- Formation energy: 2423 meV per atom

Structure (POSCAR):
```
CsTaZn2Ga
1.0
5.607 0.000 0.000
0.000 5.607 0.000
0.000 0.000 5.382
Cs Ta Zn Ga
1 1 2 1
Direct
0.000 0.000 0.000
0.000 0.000 0.500
0.000 0.500 0.000
0.500 0.000 0.000
0.500 0.500 0.500
```

***

Entry 4:
CsGaTe2 | SCAN | single point on PBEsol structure

Values from the calculation:
- Total DFT energy (no corrections): -33.00 eV/atom
- Energy relative to the elements, uncorrected: -0.83 eV per atom

Structure (POSCAR):
```
CsGaTe2
1.0
5.899 -5.898 0.000
5.899 5.898 0.000
-2.939 0.000 17.658
Cs Ga Te
8 8 16
Direct
0.150 0.775 0.598
0.223 0.348 0.892
0.225 0.850 0.902
0.348 0.223 0.392
0.652 0.777 0.608
0.775 0.150 0.098
0.777 0.652 0.108
0.850 0.225 0.402
0.084 0.707 0.329
0.293 0.419 0.172
0.293 0.916 0.171
0.419 0.293 0.672
0.581 0.707 0.328
0.707 0.084 0.829
0.707 0.581 0.828
0.916 0.293 0.671
0.048 0.423 0.251
0.048 0.952 0.250
0.146 0.270 0.580
0.270 0.146 0.080
0.270 0.643 0.079
0.357 0.730 0.421
0.423 0.048 0.751
0.423 0.577 0.750
0.577 0.423 0.250
0.577 0.952 0.249
0.643 0.270 0.579
0.730 0.357 0.921
0.730 0.854 0.920
0.854 0.730 0.420
0.952 0.048 0.750
0.952 0.577 0.749
```

***

Entry 5:
CsGaTe2 | SCAN | single point on PBEsol structure

Values from the calculation:
- Total DFT energy (no corrections): -32.94 eV/atom
- Energy relative to the elements, uncorrected: -0.78 eV per atom

Structure (POSCAR):
```
CsGaTe2
1.0
-4.121 4.121 4.511
4.121 -4.121 4.511
4.121 4.121 -4.511
Cs Ga Te
2 2 4
Direct
0.000 0.000 0.000
0.750 0.250 0.500
0.250 0.750 0.500
0.500 0.500 0.000
0.230 0.625 0.105
0.375 0.480 0.605
0.520 0.125 0.895
0.875 0.770 0.395
```

***

Entry 6:
CsTiGa3 | SCAN | single point on PBEsol structure

Values from the calculation:
- Total DFT energy (no corrections): -18.85 eV/atom
- Formation energy: 1722 meV per atom

Structure (POSCAR):
```
CsTiGa3
1.0
5.545 0.000 0.000
0.000 5.545 0.000
0.000 0.000 5.545
Cs Ti Ga
1 1 3
Direct
0.000 0.000 0.000
0.500 0.500 0.500
0.000 0.000 0.500
0.000 0.500 0.000
0.500 0.000 0.000
```